[1]
Here is a relaxed structure of PmPaAl2 from Alexandria via LeMat-Bulk. Energies are from PBE.

Cell lengths 5.155, 5.155, 5.155 Å; angles 60.00, 60.00, 60.00 degrees
Sites, in units of the cell vectors:
Pa1 0.000 0.000 0.000
Al1 0.250 0.250 0.250
Al2 0.750 0.750 0.750
Pm1 0.500 0.500 0.500

Results
Energy of formation ... -64 meV per atom
Offset from the most stable computed form ... 0.60 eV per formula unit
Total magnetic moment ... 1.4 Bohr magnetons per cell
VASP energy ... -5.50 eV per atom
ρ ... 7.4 Mg/m³

=====

[2]
Here is a relaxed structure of Pm2PaAlPt6 from Alexandria via LeMat-Bulk. Energies are from PBE.

Cell lengths 5.669, 8.913, 8.914 Å; angles 37.08, 71.47, 90.01 degrees
Sites, in units of the cell vectors:
Pm1 0.297 0.703 0.406
Pm2 0.703 0.297 0.594
Pa1 0.500 0.500 0.000
Al1 0.000 0.000 0.000
Pt1 0.243 0.757 0.009
Pt2 0.748 0.757 0.009
Pt3 0.243 0.252 0.513
Pt4 0.757 0.243 0.991
Pt5 0.252 0.243 0.991
Pt6 0.757 0.748 0.487

Results
Energy of formation ... -902 meV per atom
Total magnetic moment ... 0.0 Bohr magnetons per cell
VASP energy ... -6.80 eV per atom
ρ ... 12.4 Mg/m³

=====

[3]
Here is a relaxed structure of PmPuPaAl from Alexandria via LeMat-Bulk. Energies are from PBE.

Cell lengths 5.186, 5.186, 5.186 Å; angles 60.00, 60.00, 60.00 degrees
Sites, in units of the cell vectors:
Pa1 0.750 0.750 0.750
Pm1 0.000 0.000 0.000
Al1 0.250 0.250 0.250
Pu1 0.500 0.500 0.500

Results
Energy of formation ... 137 meV per atom
Total magnetic moment ... 7.0 Bohr magnetons per cell
VASP energy ... -7.94 eV per atom
ρ ... 10.9 Mg/m³

=====

[4]
Here is a relaxed structure of PmPaAlRu from Alexandria via LeMat-Bulk. Energies are from PBE.

Cell lengths 5.014, 5.014, 5.014 Å; angles 60.00, 60.00, 60.00 degrees
Sites, in units of the cell vectors:
Ru1 0.250 0.250 0.250
Pa1 0.500 0.500 0.500
Al1 0.750 0.750 0.750
Pm1 0.000 0.000 0.000

Results
Energy of formation ... -70 meV per atom
Total magnetic moment ... 0.0 Bohr magnetons per cell
VASP energy ... -6.89 eV per atom
ρ ... 9.4 Mg/m³

=====

Please write out number 4 again, unchanged.
Here is a relaxed structure of PmPaAlRu from Alexandria via LeMat-Bulk. Energies are from PBE.

Cell lengths 5.014, 5.014, 5.014 Å; angles 60.00, 60.00, 60.00 degrees
Sites, in units of the cell vectors:
Ru1 0.250 0.250 0.250
Pa1 0.500 0.500 0.500
Al1 0.750 0.750 0.750
Pm1 0.000 0.000 0.000

Results
Energy of formation ... -70 meV per atom
Total magnetic moment ... 0.0 Bohr magnetons per cell
VASP energy ... -6.89 eV per atom
ρ ... 9.4 Mg/m³

=====

Which of these has the lowest VASP energy?
PmPuPaAl